Material: Ba3GeO5
Method: DFT, GGA-PBE
State: relaxed

a = 10.760 Å, b = 10.760 Å, c = 10.760 Å
α = 44.02°, β = 44.02°, γ = 44.02°
Each line ends with the local moment (μB).
Element x y z (fractional)
Ba  0.285  0.755  0.285  0.00
Ba  0.718  0.718  0.234  0.00
Ba  0.755  0.285  0.285  0.00
Ba  0.009  0.497  0.497  0.00
Ba  0.234  0.718  0.718  0.00
Ba  0.285  0.285  0.755  0.00
Ba  0.718  0.234  0.718  0.00
Ba  0.497  0.009  0.497  0.00
Ba  0.497  0.497  0.009  0.00
Ge  0.999  0.999  0.999  0.00
Ge  0.780  0.780  0.780  0.00
Ge  0.216  0.216  0.216  0.00
O  0.358  0.995  0.358  0.00
O  0.624  0.624  0.624  0.03
O  0.639  0.002  0.639  0.00
O  0.639  0.639  0.002  0.00
O  0.938  0.938  0.938  0.00
O  0.841  0.841  0.841  0.00
O  0.995  0.358  0.358  0.00
O  0.002  0.639  0.639  0.00
O  0.154  0.154  0.154  0.00
O  0.140  0.776  0.140  0.00
O  0.140  0.140  0.776  0.00
O  0.358  0.358  0.995  0.00
O  0.383  0.383  0.383  0.06
O  0.499  0.499  0.499  0.00
O  0.776  0.140  0.140  0.00

Results
excess energy over the best structure of this formula in the dataset = 33.9 meV/atom
symmetry = R3m (160)
E = -6.34 eV/atom
formation energy without anion corrections = -2.431 eV per atom


Material: Ba2GeO4
Method: DFT, GGA-PBE
State: relaxed

a = 6.026 Å, b = 6.130 Å, c = 7.606 Å
α = 90.00°, β = 109.01°, γ = 90.00°
Element x y z (fractional)
Ba  0.689  0.750  0.026
Ba  0.311  0.250  0.974
Ba  0.208  0.250  0.434
Ba  0.792  0.750  0.566
Ge  0.259  0.750  0.209
Ge  0.741  0.250  0.791
O  0.453  0.521  0.266
O  0.114  0.750  0.962
O  0.886  0.250  0.038
O  0.453  0.979  0.266
O  0.941  0.250  0.662
O  0.547  0.021  0.734
O  0.547  0.479  0.734
O  0.059  0.750  0.338

Results
symmetry = P2_1/m (11)
E = -6.44 eV/atom
formation energy without anion corrections = -2.401 eV per atom


Material: Ba3GeO4
Method: DFT, GGA-PBE
State: relaxed

a = 5.464 Å, b = 5.457 Å, c = 11.527 Å
α = 90.00°, β = 90.00°, γ = 90.00°
Element x y z (fractional)
Ba  0.552  0.749  0.000
Ba  0.053  0.752  0.250
Ba  0.553  0.248  0.250
Ba  0.052  0.251  0.500
Ba  0.553  0.248  0.750
Ba  0.053  0.752  0.750
Ge  0.023  0.222  0.000
Ge  0.523  0.778  0.500
O  0.058  0.889  0.000
O  0.690  0.255  0.000
O  0.043  0.249  0.273
O  0.543  0.751  0.227
O  0.190  0.745  0.500
O  0.558  0.111  0.500
O  0.543  0.751  0.773
O  0.043  0.249  0.727

Results
symmetry = Pmn2_1 (31)
E = -6.00 eV/atom
formation energy without anion corrections = -2.226 eV per atom


Material: Ba2GeO4
Method: DFT, GGA-PBE
State: relaxed

a = 7.709 Å, b = 6.128 Å, c = 11.962 Å
α = 62.08°, β = 90.00°, γ = 90.00°
Element x y z (fractional)
Ba  0.003  0.468  0.302
Ba  0.841  0.186  0.077
Ba  0.659  0.186  0.577
Ba  0.497  0.468  0.802
Ba  0.503  0.532  0.198
Ba  0.341  0.814  0.423
Ba  0.159  0.814  0.923
Ba  0.997  0.532  0.698
Ge  0.779  0.838  0.418
Ge  0.721  0.838  0.918
Ge  0.279  0.162  0.082
Ge  0.221  0.162  0.582
O  0.994  0.212  0.569
O  0.821  0.646  0.861
O  0.820  0.746  0.070
O  0.767  0.156  0.818
O  0.733  0.156  0.318
O  0.680  0.746  0.570
O  0.679  0.646  0.361
O  0.506  0.212  0.069
O  0.494  0.788  0.931
O  0.321  0.354  0.639
O  0.320  0.254  0.430
O  0.267  0.844  0.682
O  0.233  0.844  0.182
O  0.180  0.254  0.930
O  0.179  0.354  0.139
O  0.006  0.788  0.431

Results
symmetry = P2_1/c (14)
E = -6.50 eV/atom
formation energy without anion corrections = -2.459 eV per atom


Material: Ba3Ge2O6
Method: DFT, GGA-PBE
State: relaxed

a = 4.172 Å, b = 4.172 Å, c = 11.009 Å
α = 100.92°, β = 100.92°, γ = 90.00°
Element x y z (fractional)
Ba  0.000  0.000  0.000
Ba  0.819  0.819  0.639
Ba  0.181  0.181  0.361
Ge  0.398  0.398  0.795
Ge  0.602  0.602  0.205
O  0.090  0.590  0.181
O  0.590  0.090  0.181
O  0.910  0.410  0.819
O  0.410  0.910  0.819
O  0.690  0.690  0.381
O  0.310  0.310  0.619

Results
symmetry = I4/mmm (139)
E = -6.18 eV/atom
formation energy without anion corrections = -2.115 eV per atom


Material: Ba3GeO5
Method: DFT, GGA-PBE
State: relaxed

a = 7.887 Å, b = 7.887 Å, c = 7.887 Å
α = 123.77°, β = 123.77°, γ = 83.59°
Element x y z (fractional)
Ba  0.817  0.317  0.134
Ba  0.250  0.250  0.000
Ba  0.750  0.750  0.000
Ba  0.317  0.183  0.500
Ba  0.683  0.817  0.500
Ba  0.183  0.683  0.866
Ge  0.750  0.250  0.500
Ge  0.250  0.750  0.500
O  0.523  0.023  0.232
O  0.977  0.209  0.500
O  0.000  0.000  0.000
O  0.500  0.500  0.000
O  0.709  0.477  0.500
O  0.791  0.291  0.768
O  0.291  0.523  0.500
O  0.209  0.709  0.232
O  0.023  0.791  0.500
O  0.477  0.977  0.768

Results
excess energy over the best structure of this formula in the dataset = 6.8 meV/atom
symmetry = I4/mcm (140)
E = -6.37 eV/atom
formation energy without anion corrections = -2.458 eV per atom